# GdCrTeO6

Crystalline GdCrTeO6 at its relaxed geometry (PBE+U, the Alexandria database).

Properties
Distance to the lowest polymorph of the same formula (meV per atom): 282
Symmetry: P-31c
Total magnetic moment (Bohr magnetons per cell): 20.0

Lattice parameters (Å, degrees): 5.4608 5.4608 8.5916 90.00 90.00 120.00
Sites, in units of the cell vectors:
Gd  0.3333  0.6667  0.2500
Gd  0.6667  0.3333  0.7500
Cr  0.0000  0.0000  0.0000
Cr  0.0000  0.0000  0.5000
Te  0.3333  0.6667  0.7500
Te  0.6667  0.3333  0.2500
O  0.0477  0.3548  0.8776
O  0.0477  0.6929  0.6224
O  0.3071  0.3548  0.6224
O  0.3071  0.9523  0.8776
O  0.3548  0.0477  0.3776
O  0.3548  0.3071  0.1224
O  0.6452  0.6929  0.8776
O  0.6452  0.9523  0.6224
O  0.6929  0.0477  0.1224
O  0.6929  0.6452  0.3776
O  0.9523  0.3071  0.3776
O  0.9523  0.6452  0.1224